# CaAcLaLu

A relaxed CaAcLaLu crystal (PBE, Alexandria via LeMat-Bulk).

**Space-group type**: F-43m
**Crystal system**: cubic
**ΔH_f (0 K)**: 8.4 kJ/mol of atoms
**N(E_F)**: 1.3121 states/eV per atom

The structure in CIF format:
```
data_CaAcLaLu
_cell_length_a 5.977
_cell_length_b 5.977
_cell_length_c 5.977
_cell_angle_alpha 60.00
_cell_angle_beta 60.00
_cell_angle_gamma 60.00
_space_group_name_H-M_alt 'P 1'
_space_group_IT_number 1
_space_group_name_Hall 'P 1'
loop_
_atom_site_label
_atom_site_type_symbol
_atom_site_fract_x
_atom_site_fract_y
_atom_site_fract_z
Ca1 Ca 0.000 0.000 0.000
Ac1 Ac 0.250 0.250 0.250
La1 La 0.750 0.750 0.750
Lu1 Lu 0.500 0.500 0.500
```

---

# NaCaAcLa

A relaxed NaCaAcLa crystal (PBE, Alexandria via LeMat-Bulk).

**Space-group type**: F-43m
**Crystal system**: cubic
**ΔH_f (0 K)**: 22.9 kJ/mol of atoms
**N(E_F)**: 1.3586 states/eV per atom

The structure in CIF format:
```
data_NaCaAcLa
_cell_length_a 6.106
_cell_length_b 6.106
_cell_length_c 6.106
_cell_angle_alpha 60.00
_cell_angle_beta 60.00
_cell_angle_gamma 60.00
_space_group_name_H-M_alt 'P 1'
_space_group_IT_number 1
_space_group_name_Hall 'P 1'
loop_
_atom_site_label
_atom_site_type_symbol
_atom_site_fract_x
_atom_site_fract_y
_atom_site_fract_z
Na1 Na 0.000 0.000 0.000
Ca1 Ca 0.250 0.250 0.250
Ac1 Ac 0.500 0.500 0.500
La1 La 0.750 0.750 0.750
```

---

# CaAc5La2Nd

A relaxed CaAc5La2Nd crystal (PBE, Alexandria via LeMat-Bulk).

**Space-group type**: I4/mcm
**Crystal system**: tetragonal
**ΔH_f (0 K)**: 22.9 kJ/mol of atoms
**N(E_F)**: 1.5603 states/eV per atom

The structure in CIF format:
```
data_CaAc5La2Nd
_cell_length_a 11.916
_cell_length_b 11.916
_cell_length_c 11.916
_cell_angle_alpha 137.40
_cell_angle_beta 137.40
_cell_angle_gamma 61.83
_space_group_name_H-M_alt 'P 1'
_space_group_IT_number 1
_space_group_name_Hall 'P 1'
loop_
_atom_site_label
_atom_site_type_symbol
_atom_site_fract_x
_atom_site_fract_y
_atom_site_fract_z
Ca1 Ca 0.250 0.750 0.500
Ca2 Ca 0.750 0.250 0.500
Ac1 Ac 0.000 0.000 0.000
Ac2 Ac 0.093 0.593 0.961
Ac3 Ac 0.132 0.093 0.500
Ac4 Ac 0.368 0.868 0.961
Ac5 Ac 0.407 0.368 0.500
Ac6 Ac 0.500 0.500 0.000
Ac7 Ac 0.593 0.632 0.500
Ac8 Ac 0.632 0.132 0.039
Ac9 Ac 0.868 0.907 0.500
Ac10 Ac 0.907 0.407 0.039
La1 La 0.120 0.380 0.500
La2 La 0.380 0.880 0.261
La3 La 0.620 0.120 0.739
La4 La 0.880 0.620 0.500
Nd1 Nd 0.250 0.250 0.000
Nd2 Nd 0.750 0.750 0.000
```

---

# Ca2Ac6La3Nd

A relaxed Ca2Ac6La3Nd crystal (PBE, Alexandria via LeMat-Bulk).

**Space-group type**: C2/m
**Crystal system**: monoclinic
**ΔH_f (0 K)**: 2.9 kJ/mol of atoms
**N(E_F)**: 1.5806 states/eV per atom

The structure in CIF format:
```
data_Ca2Ac6La3Nd
_cell_length_a 6.765
_cell_length_b 6.765
_cell_length_c 12.774
_cell_angle_alpha 95.06
_cell_angle_beta 95.06
_cell_angle_gamma 120.07
_space_group_name_H-M_alt 'P 1'
_space_group_IT_number 1
_space_group_name_Hall 'P 1'
loop_
_atom_site_label
_atom_site_type_symbol
_atom_site_fract_x
_atom_site_fract_y
_atom_site_fract_z
Ca1 Ca 0.167 0.833 0.000
Ca2 Ca 0.833 0.167 0.000
Ac1 Ac 0.087 0.416 0.748
Ac2 Ac 0.255 0.255 0.251
Ac3 Ac 0.416 0.087 0.748
Ac4 Ac 0.584 0.913 0.252
Ac5 Ac 0.745 0.745 0.749
Ac6 Ac 0.913 0.584 0.252
La1 La 0.000 0.000 0.500
La2 La 0.335 0.665 0.500
La3 La 0.665 0.335 0.500
Nd1 Nd 0.500 0.500 0.000
```

---

# CaAc2LaOs

A relaxed CaAc2LaOs crystal (PBE, Alexandria via LeMat-Bulk).

**Space-group type**: P4/mmm
**Crystal system**: tetragonal
**ΔH_f (0 K)**: -5.0 kJ/mol of atoms
**N(E_F)**: 0.5312 states/eV per atom

The structure in CIF format:
```
data_CaAc2LaOs
_cell_length_a 5.963
_cell_length_b 5.963
_cell_length_c 5.654
_cell_angle_alpha 90.00
_cell_angle_beta 90.00
_cell_angle_gamma 90.00
_space_group_name_H-M_alt 'P 1'
_space_group_IT_number 1
_space_group_name_Hall 'P 1'
loop_
_atom_site_label
_atom_site_type_symbol
_atom_site_fract_x
_atom_site_fract_y
_atom_site_fract_z
Ca1 Ca 0.000 0.000 0.000
Ac1 Ac 0.000 0.500 0.500
Ac2 Ac 0.500 0.000 0.500
La1 La 0.500 0.500 0.000
Os1 Os 0.500 0.500 0.500
```

---

# CaAcLa2P4

A relaxed CaAcLa2P4 crystal (PBE, Alexandria via LeMat-Bulk).

**Space-group type**: P2/m
**Crystal system**: monoclinic
**ΔH_f (0 K)**: -128.3 kJ/mol of atoms
**N(E_F)**: 0.9449 states/eV per atom

The structure in CIF format:
```
data_CaAcLa2P4
_cell_length_a 7.413
_cell_length_b 4.319
_cell_length_c 7.445
_cell_angle_alpha 90.00
_cell_angle_beta 109.38
_cell_angle_gamma 90.00
_space_group_name_H-M_alt 'P 1'
_space_group_IT_number 1
_space_group_name_Hall 'P 1'
loop_
_atom_site_label
_atom_site_type_symbol
_atom_site_fract_x
_atom_site_fract_y
_atom_site_fract_z
Ca1 Ca 0.000 0.000 0.000
Ac1 Ac 0.500 0.500 0.000
La1 La 0.000 0.500 0.500
La2 La 0.500 0.000 0.500
P1 P 0.244 0.000 0.742
P2 P 0.249 0.500 0.256
P3 P 0.751 0.500 0.744
P4 P 0.756 0.000 0.258
```

---

# CaAcLaPm

A relaxed CaAcLaPm crystal (PBE, Alexandria via LeMat-Bulk).

**Space-group type**: F-43m
**Crystal system**: cubic
**ΔH_f (0 K)**: 12.3 kJ/mol of atoms
**N(E_F)**: 1.9551 states/eV per atom

The structure in CIF format:
```
data_CaAcLaPm
_cell_length_a 6.064
_cell_length_b 6.064
_cell_length_c 6.064
_cell_angle_alpha 60.00
_cell_angle_beta 60.00
_cell_angle_gamma 60.00
_space_group_name_H-M_alt 'P 1'
_space_group_IT_number 1
_space_group_name_Hall 'P 1'
loop_
_atom_site_label
_atom_site_type_symbol
_atom_site_fract_x
_atom_site_fract_y
_atom_site_fract_z
Ca1 Ca 0.000 0.000 0.000
Ac1 Ac 0.500 0.500 0.500
La1 La 0.750 0.750 0.750
Pm1 Pm 0.250 0.250 0.250
```

---

# Ca2Ac4LaPm

A relaxed Ca2Ac4LaPm crystal (PBE, Alexandria via LeMat-Bulk).

**Space-group type**: C2/c
**Crystal system**: monoclinic
**ΔH_f (0 K)**: 35.2 kJ/mol of atoms
**N(E_F)**: 2.0143 states/eV per atom

The structure in CIF format:
```
data_Ca2Ac4LaPm
_cell_length_a 10.364
_cell_length_b 10.364
_cell_length_c 7.463
_cell_angle_alpha 111.08
_cell_angle_beta 111.08
_cell_angle_gamma 88.31
_space_group_name_H-M_alt 'P 1'
_space_group_IT_number 1
_space_group_name_Hall 'P 1'
loop_
_atom_site_label
_atom_site_type_symbol
_atom_site_fract_x
_atom_site_fract_y
_atom_site_fract_z
Ca1 Ca 0.000 0.000 0.000
Ca2 Ca 0.000 0.000 0.500
Ca3 Ca 0.000 0.500 0.000
Ca4 Ca 0.500 0.000 0.500
Ac1 Ac 0.255 0.744 0.988
Ac2 Ac 0.256 0.745 0.512
Ac3 Ac 0.260 0.269 0.517
Ac4 Ac 0.269 0.260 0.017
Ac5 Ac 0.731 0.740 0.983
Ac6 Ac 0.740 0.731 0.483
Ac7 Ac 0.744 0.255 0.488
Ac8 Ac 0.745 0.256 0.012
La1 La 0.000 0.500 0.500
La2 La 0.500 0.000 0.000
Pm1 Pm 0.500 0.500 0.000
Pm2 Pm 0.500 0.500 0.500
```